# Tb7Ru2Rh2 GGA-PBE optimized geometry
# energy relative to the lowest polymorph listed for this composition	0	meV/atom
# energy of formation	-5.7	eV per formula unit
data_Tb7Ru2Rh2
_chemical_formula_sum 'Tb14 Ru4 Rh4'
_cell_length_a 4.100
_cell_length_b 14.380
_cell_length_c 9.044
_cell_angle_alpha 90.00
_cell_angle_beta 90.00
_cell_angle_gamma 90.00
_symmetry_space_group_name_H-M 'I m m 2'
_symmetry_Int_Tables_number 44
_symmetry_space_group_name_Hall 'I 2 -2'
loop_
_atom_site_label
_atom_site_type_symbol
_atom_site_fract_x
_atom_site_fract_y
_atom_site_fract_z
_atom_site_occupancy
Tb1 Tb 0.000 0.000 0.000 1
Tb2 Tb 0.000 0.117 0.402 1
Tb3 Tb 0.000 0.315 0.615 1
Tb4 Tb 0.000 0.367 0.230 1
Ru1 Ru 0.000 0.232 0.916 1
Rh1 Rh 0.000 0.000 0.670 1
Rh2 Rh 0.000 0.500 0.724 1

***

# HOsRh2W GGA-PBE optimized geometry
# energy relative to the lowest polymorph listed for this composition	32	meV/atom
data_HOsRh2W
_chemical_formula_sum 'H1 Os1 Rh2 W1'
_cell_length_a 3.847
_cell_length_b 3.847
_cell_length_c 4.091
_cell_angle_alpha 90.00
_cell_angle_beta 90.00
_cell_angle_gamma 90.00
_symmetry_space_group_name_H-M 'P 4/m m m'
_symmetry_Int_Tables_number 123
_symmetry_space_group_name_Hall '-P 4 2'
loop_
_atom_site_label
_atom_site_type_symbol
_atom_site_fract_x
_atom_site_fract_y
_atom_site_fract_z
_atom_site_occupancy
H1 H 0.000 0.000 0.000 1
Os1 Os 0.500 0.500 0.500 1
Rh1 Rh 0.000 0.500 0.000 1
W1 W 0.000 0.000 0.500 1

***

# Ba2SmAs2Cl2 GGA-PBE optimized geometry
# ΔE_f (raw)	-1.58	eV/atom
data_Ba2SmAs2Cl2
_chemical_formula_sum 'Ba4 Sm2 As4 Cl4'
_cell_length_a 5.612
_cell_length_b 5.612
_cell_length_c 16.001
_cell_angle_alpha 90.00
_cell_angle_beta 90.00
_cell_angle_gamma 90.00
_symmetry_space_group_name_H-M 'I 4/m m m'
_symmetry_Int_Tables_number 139
_symmetry_space_group_name_Hall '-I 4 2'
loop_
_atom_site_label
_atom_site_type_symbol
_atom_site_fract_x
_atom_site_fract_y
_atom_site_fract_z
_atom_site_occupancy
Ba1 Ba 0.000 0.000 0.126 1
Sm1 Sm 0.000 0.000 0.500 1
As1 As 0.000 0.500 0.000 1
Cl1 Cl 0.000 0.000 0.318 1

***

# Sr2MnAs4Pd3 GGA-PBE optimized geometry
# energy of formation	-7.3	eV per formula unit
data_Sr2MnAs4Pd3
_chemical_formula_sum 'Sr2 Mn1 As4 Pd3'
_cell_length_a 4.377
_cell_length_b 4.377
_cell_length_c 10.637
_cell_angle_alpha 90.00
_cell_angle_beta 90.00
_cell_angle_gamma 90.00
_symmetry_space_group_name_H-M 'P -4 m 2'
_symmetry_Int_Tables_number 115
_symmetry_space_group_name_Hall 'P -4 -2'
loop_
_atom_site_label
_atom_site_type_symbol
_atom_site_fract_x
_atom_site_fract_y
_atom_site_fract_z
_atom_site_occupancy
Sr1 Sr 0.000 0.500 0.248 1
Mn1 Mn 0.000 0.000 0.500 1
As1 As 0.000 0.000 0.000 1
As2 As 0.000 0.500 0.632 1
As3 As 0.500 0.500 0.000 1
Pd1 Pd 0.000 0.500 0.874 1
Pd2 Pd 0.500 0.500 0.500 1

***

# Y2AgPd GGA-PBE optimized geometry
# energy of formation	-0.8	eV per formula unit
data_Y2AgPd
_chemical_formula_sum 'Y8 Ag4 Pd4'
_cell_length_a 7.754
_cell_length_b 7.754
_cell_length_c 6.782
_cell_angle_alpha 90.00
_cell_angle_beta 90.00
_cell_angle_gamma 90.00
_symmetry_space_group_name_H-M 'I -4 2 d'
_symmetry_Int_Tables_number 122
_symmetry_space_group_name_Hall 'I -4 2bw'
loop_
_atom_site_label
_atom_site_type_symbol
_atom_site_fract_x
_atom_site_fract_y
_atom_site_fract_z
_atom_site_occupancy
Y1 Y 0.231 0.250 0.125 1
Ag1 Ag 0.000 0.000 0.500 1
Pd1 Pd 0.000 0.000 0.000 1

***

# HfAlSi2O8 GGA-PBE optimized geometry
# ΔE_f (raw)	-2.67	eV/atom
data_HfAlSi2O8
_chemical_formula_sum 'Hf2 Al2 Si4 O16'
_cell_length_a 6.417
_cell_length_b 6.417
_cell_length_c 6.056
_cell_angle_alpha 90.00
_cell_angle_beta 90.00
_cell_angle_gamma 90.00
_symmetry_space_group_name_H-M 'I -4 m 2'
_symmetry_Int_Tables_number 119
_symmetry_space_group_name_Hall 'I -4 -2'
loop_
_atom_site_label
_atom_site_type_symbol
_atom_site_fract_x
_atom_site_fract_y
_atom_site_fract_z
_atom_site_occupancy
Hf1 Hf 0.000 0.000 0.000 1
Al1 Al 0.000 0.500 0.250 1
Si1 Si 0.000 0.000 0.500 1
Si2 Si 0.000 0.500 0.750 1
O1 O 0.000 0.197 0.322 1
O2 O 0.000 0.311 0.927 1

***

# KB2PtW GGA-PBE optimized geometry
# energy of formation	10.0	eV per formula unit
data_KB2PtW
_chemical_formula_sum 'K1 B2 Pt1 W1'
_cell_length_a 4.208
_cell_length_b 4.208
_cell_length_c 5.744
_cell_angle_alpha 90.00
_cell_angle_beta 90.00
_cell_angle_gamma 90.00
_symmetry_space_group_name_H-M 'P 4/m m m'
_symmetry_Int_Tables_number 123
_symmetry_space_group_name_Hall '-P 4 2'
loop_
_atom_site_label
_atom_site_type_symbol
_atom_site_fract_x
_atom_site_fract_y
_atom_site_fract_z
_atom_site_occupancy
K1 K 0.000 0.000 0.000 1
B1 B 0.000 0.500 0.500 1
Pt1 Pt 0.500 0.500 0.000 1
W1 W 0.000 0.000 0.500 1

***

# La2AlCl GGA-PBE optimized geometry
# energy relative to the lowest polymorph listed for this composition	14	meV/atom
# ΔE_f (raw)	-0.93	eV/atom
data_La2AlCl
_chemical_formula_sum 'La2 Al1 Cl1'
_cell_length_a 3.894
_cell_length_b 4.809
_cell_length_c 6.137
_cell_angle_alpha 90.00
_cell_angle_beta 90.00
_cell_angle_gamma 90.00
_symmetry_space_group_name_H-M 'P m m m'
_symmetry_Int_Tables_number 47
_symmetry_space_group_name_Hall '-P 2 2'
loop_
_atom_site_label
_atom_site_type_symbol
_atom_site_fract_x
_atom_site_fract_y
_atom_site_fract_z
_atom_site_occupancy
La1 La 0.000 0.000 0.000 1
La2 La 0.500 0.500 0.500 1
Al1 Al 0.000 0.000 0.500 1
Cl1 Cl 0.500 0.500 0.000 1

***

These records have energy values of -142.658, -42.187, -65.236, -53.977, -87.021, -192.529, -23.489, -19.169 eV for the cell shown, in the order they appear.
These records have theoretical density values of 9.5, 15.9, 4.3, 6.9, 6.4, 5.2, 7.2, 4.9 g cm⁻³, in the order they appear.
These records have DOS at the Fermi energy values of 9.5, 3.0, 6.8, 4.1, 17.6, 17.3, 3.3, 2.7 states/eV per cell, in the order they appear.